{
  "formula": "Dy2OF",
  "functional": "PBE",
  "state": "optimized geometry",
  "final_energy_ev_per_atom": -6.441,
  "lattice_angstrom": [[-0.103, -3.098, -1.618], [0.121, -2.952, 1.868], [-7.190, -2.018, 0.546]],
  "species": ["F", "Dy", "Dy", "O"],
  "frac_coords": [[0.000, 0.000, 0.000], [0.900, 0.900, 0.301], [0.100, 0.100, 0.699], [0.500, 0.500, 0.500]]
}